MnCo2Au PBE-GGA relaxed; E_form = 0.13 eV per atom; uncorrected energy = -6.536 eV/atom; V = 13.38 A^3/atom
1.0
-1.896 1.896 3.724
1.896 -1.896 3.724
1.896 1.896 -3.724
Mn Co Au
1 2 1
Direct
0.000 0.000 0.000
0.250 0.750 0.500
0.500 0.500 0.000
0.750 0.250 0.500

=====

ReAg2Pt PBE-GGA relaxed; E_form = 0.36 eV per atom; uncorrected energy = -5.685 eV/atom; excess energy over the best structure of this formula in the dataset = 0.73 eV/f.u.; V = 16.18 A^3/atom
1.0
4.865 -1.371 0.000
4.865 1.371 0.000
-0.678 0.000 4.850
Re Ag Pt
1 2 1
Direct
0.000 0.000 0.000
0.252 0.252 0.753
0.748 0.748 0.247
0.500 0.500 0.500

=====

Bi2PdPt PBE-GGA relaxed; E_form = -0.21 eV per atom; uncorrected energy = -4.957 eV/atom; V = 22.41 A^3/atom
1.0
6.918 0.000 0.000
0.000 1.914 6.771
0.000 -1.914 6.771
Bi Pd Pt
4 2 2
Direct
0.000 0.000 0.000
0.000 0.265 0.265
0.500 0.070 0.070
0.500 0.797 0.797
0.295 0.427 0.427
0.705 0.427 0.427
0.205 0.641 0.641
0.795 0.641 0.641

=====

ZrAl2Pb PBE-GGA relaxed; E_form = 0.05 eV per atom; uncorrected energy = -4.886 eV/atom; V = 21.57 A^3/atom
1.0
3.202 0.000 0.000
0.000 5.175 0.000
0.000 0.000 5.209
Zr Al Pb
1 2 1
Direct
0.000 0.000 0.000
0.000 0.500 0.500
0.500 0.000 0.500
0.500 0.500 0.000

=====

Ca3Si2SbPt9 PBE-GGA relaxed; raw formation energy = -0.611 eV per atom; uncorrected energy = -5.634 eV/atom; V = 21.55 A^3/atom
1.0
6.444 0.000 0.000
-3.222 5.580 0.000
0.000 0.000 8.988
Ca Si Sb Pt
3 2 1 9
Direct
0.000 0.000 0.000
0.333 0.667 0.715
0.667 0.333 0.285
0.333 0.667 0.175
0.667 0.333 0.825
0.000 0.000 0.500
0.000 0.500 0.000
0.144 0.288 0.265
0.144 0.856 0.265
0.288 0.144 0.735
0.500 0.000 0.000
0.500 0.500 0.000
0.712 0.856 0.265
0.856 0.144 0.735
0.856 0.712 0.735

=====

PuPa2Ir PBE-GGA relaxed; E_form = -0.30 eV per atom; uncorrected energy = -10.849 eV/atom; excess energy over the best structure of this formula in the dataset = 0.06 eV/f.u.; V = 22.55 A^3/atom
1.0
3.650 0.000 0.000
0.000 9.004 0.000
-0.822 0.000 5.489
Pu Pa Ir
2 4 2
Direct
0.103 0.250 0.118
0.897 0.750 0.882
0.296 0.057 0.779
0.296 0.443 0.779
0.704 0.557 0.221
0.704 0.943 0.221
0.261 0.750 0.479
0.739 0.250 0.521

=====

Ac4Cu5Ru2 PBE-GGA relaxed; E_form = -0.07 eV per atom; uncorrected energy = -5.110 eV/atom; V = 23.52 A^3/atom
1.0
7.076 0.000 0.000
0.000 4.377 0.000
-0.642 0.000 8.354
Ac Cu Ru
4 5 2
Direct
0.216 0.000 0.371
0.252 0.000 0.910
0.748 0.000 0.090
0.784 0.000 0.629
0.206 0.500 0.649
0.440 0.500 0.188
0.500 0.500 0.500
0.560 0.500 0.812
0.794 0.500 0.351
0.048 0.500 0.150
0.952 0.500 0.850

=====

Li4Pd5 PBE-GGA relaxed; E_form = -0.33 eV per atom; uncorrected energy = -4.065 eV/atom; excess energy over the best structure of this formula in the dataset = 0.08 eV/f.u.; V = 13.83 A^3/atom
1.0
7.399 0.000 0.000
-3.699 6.408 0.000
0.000 0.000 5.250
Li Pd
8 10
Direct
0.000 0.000 0.000
0.000 0.000 0.500
0.000 0.369 0.250
0.000 0.631 0.750
0.369 0.000 0.250
0.369 0.369 0.750
0.631 0.000 0.750
0.631 0.631 0.250
0.000 0.300 0.750
0.000 0.700 0.250
0.300 0.000 0.750
0.300 0.300 0.250
0.333 0.667 0.000
0.333 0.667 0.500
0.667 0.333 0.000
0.667 0.333 0.500
0.700 0.000 0.250
0.700 0.700 0.750

=====

LaMg2Si2 PBE-GGA relaxed; raw formation energy = -0.155 eV per atom; uncorrected energy = -3.948 eV/atom; excess energy over the best structure of this formula in the dataset = 1.65 eV/f.u.; V = 20.89 A^3/atom
1.0
8.105 0.000 0.000
0.000 8.105 0.000
0.000 0.000 3.180
La Mg Si
2 4 4
Direct
0.000 0.000 0.000
0.500 0.500 0.000
0.122 0.378 0.000
0.378 0.878 0.000
0.622 0.122 0.000
0.878 0.622 0.000
0.174 0.674 0.500
0.326 0.174 0.500
0.674 0.826 0.500
0.826 0.326 0.500

=====

RbCaBe2Cl8 PBE-GGA relaxed; raw formation energy = -1.577 eV per atom; uncorrected energy = -3.677 eV/atom; V = 26.77 A^3/atom
1.0
3.168 1.829 9.238
-3.168 1.829 9.238
0.000 -3.658 9.238
Rb Ca Be Cl
1 1 2 8
Direct
0.000 0.000 0.000
0.500 0.500 0.500
0.247 0.247 0.247
0.753 0.753 0.753
0.074 0.788 0.463
0.212 0.537 0.926
0.320 0.320 0.320
0.463 0.074 0.788
0.537 0.926 0.212
0.680 0.680 0.680
0.788 0.463 0.074
0.926 0.212 0.537

=====

TaZnHRu2 PBE-GGA relaxed; uncorrected energy = -7.120 eV/atom; excess energy over the best structure of this formula in the dataset = 0.00 eV/f.u.; V = 12.25 A^3/atom
1.0
4.156 0.000 0.000
0.000 4.156 0.000
0.000 0.000 3.547
Ta Zn H Ru
1 1 1 2
Direct
0.000 0.000 0.000
0.500 0.500 0.000
0.500 0.500 0.500
0.000 0.500 0.500
0.500 0.000 0.500

=====

LiEuAl4 PBE-GGA relaxed; E_form = -0.21 eV per atom; uncorrected energy = -4.739 eV/atom; V = 20.57 A^3/atom
1.0
0.000 3.952 3.952
3.952 0.000 3.952
3.952 3.952 0.000
Li Eu Al
1 1 4
Direct
0.000 0.000 0.000
0.250 0.250 0.250
0.126 0.625 0.625
0.625 0.126 0.625
0.625 0.625 0.126
0.625 0.625 0.625

=====

> What is the uncorrected energy in the fourth record?

-4.886 eV/atom